Computed, not measured: a relaxed Ho2CuGe crystal at the PBE level of DFT.

Cell lengths 5.825, 4.165, 7.791 Å; angles 90.00, 110.36, 90.00 degrees
Fractional positions:
Ho (0.214, 0.250, 0.417)
Ho (0.214, 0.250, 0.938)
Ho (0.786, 0.750, 0.062)
Ho (0.786, 0.750, 0.583)
Cu (0.365, 0.750, 0.216)
Cu (0.635, 0.250, 0.784)
Ge (0.339, 0.750, 0.710)
Ge (0.661, 0.250, 0.290)

Summary:
crystal system = monoclinic
calculated formation energy = -0.58 eV per atom
density of states at the Fermi level = 7.53 states/eV per cell
final energy = -40.4 eV for the cell shown

=====

Computed, not measured: a relaxed Ho2CuGe2 crystal at the PBE level of DFT.

Cell lengths 5.680, 5.680, 10.193 Å; angles 115.64, 115.64, 43.78 degrees
Fractional positions:
Ho (0.007, 0.007, 0.329)
Ho (0.186, 0.186, 0.103)
Ho (0.814, 0.814, 0.897)
Ho (0.993, 0.993, 0.671)
Cu (0.280, 0.280, 0.650)
Cu (0.720, 0.720, 0.350)
Ge (0.353, 0.353, 0.432)
Ge (0.476, 0.476, 0.117)
Ge (0.524, 0.524, 0.883)
Ge (0.647, 0.647, 0.568)

Summary:
crystal system = monoclinic
calculated formation energy = -0.72 eV per atom
density of states at the Fermi level = 6.84 states/eV per cell
final energy = -52.2 eV for the cell shown

=====

Computed, not measured: a relaxed HoCu9Ge2 crystal at the PBE level of DFT.

Cell lengths 8.403, 8.403, 8.403 Å; angles 34.77, 34.77, 34.77 degrees
Fractional positions:
Ho (0.000, 0.000, 0.000)
Cu (0.080, 0.589, 0.589)
Cu (0.334, 0.334, 0.334)
Cu (0.411, 0.411, 0.920)
Cu (0.411, 0.920, 0.411)
Cu (0.500, 0.500, 0.500)
Cu (0.589, 0.080, 0.589)
Cu (0.589, 0.589, 0.080)
Cu (0.666, 0.666, 0.666)
Cu (0.920, 0.411, 0.411)
Ge (0.145, 0.145, 0.145)
Ge (0.855, 0.855, 0.855)

Summary:
crystal system = trigonal
calculated formation energy = -0.05 eV per atom
density of states at the Fermi level = 6.90 states/eV per cell
final energy = -51.3 eV for the cell shown

=====

Computed, not measured: a relaxed HoCu3Ge crystal at the PBE level of DFT.

Cell lengths 4.471, 5.963, 5.997 Å; angles 90.00, 90.00, 90.00 degrees
Fractional positions:
Ho (0.250, 0.250, 0.236)
Ho (0.750, 0.750, 0.764)
Cu (0.250, 0.050, 0.743)
Cu (0.250, 0.450, 0.743)
Cu (0.250, 0.750, 0.050)
Cu (0.750, 0.250, 0.950)
Cu (0.750, 0.550, 0.257)
Cu (0.750, 0.950, 0.257)
Ge (0.250, 0.750, 0.437)
Ge (0.750, 0.250, 0.563)

Summary:
crystal system = orthorhombic
calculated formation energy = -0.26 eV per atom
density of states at the Fermi level = 3.14 states/eV per cell
final energy = -45.6 eV for the cell shown

=====

Computed, not measured: a relaxed Ho4CuGe3 crystal at the PBE level of DFT.

Cell lengths 3.997, 4.188, 10.740 Å; angles 90.00, 90.00, 90.00 degrees
Fractional positions:
Ho (0.000, 0.000, 0.000)
Ho (0.000, 0.500, 0.497)
Ho (0.500, 0.000, 0.721)
Ho (0.500, 0.500, 0.222)
Cu (0.000, 0.000, 0.288)
Ge (0.000, 0.500, 0.773)
Ge (0.500, 0.000, 0.438)
Ge (0.500, 0.500, 0.944)

Summary:
crystal system = orthorhombic
calculated formation energy = -0.72 eV per atom
density of states at the Fermi level = 5.85 states/eV per cell
final energy = -42.0 eV for the cell shown

=====

Computed, not measured: a relaxed Ho2Cu2Ge3 crystal at the PBE level of DFT.

Cell lengths 9.254, 9.254, 6.719 Å; angles 90.00, 90.00, 153.58 degrees
Fractional positions:
Ho (0.051, 0.949, 0.750)
Ho (0.157, 0.843, 0.250)
Ho (0.843, 0.157, 0.750)
Ho (0.949, 0.051, 0.250)
Cu (0.307, 0.693, 0.059)
Cu (0.307, 0.693, 0.441)
Cu (0.693, 0.307, 0.559)
Cu (0.693, 0.307, 0.941)
Ge (0.222, 0.778, 0.750)
Ge (0.435, 0.565, 0.560)
Ge (0.435, 0.565, 0.940)
Ge (0.565, 0.435, 0.060)
Ge (0.565, 0.435, 0.440)
Ge (0.778, 0.222, 0.250)

Summary:
crystal system = orthorhombic
calculated formation energy = -0.62 eV per atom
density of states at the Fermi level = 2.19 states/eV per cell
final energy = -71.0 eV for the cell shown

=====

Computed, not measured: a relaxed Ho3Cu2Ge3 crystal at the PBE level of DFT.

Cell lengths 5.668, 5.668, 14.107 Å; angles 90.00, 90.00, 136.40 degrees
Fractional positions:
Ho (0.083, 0.917, 0.613)
Ho (0.083, 0.917, 0.887)
Ho (0.365, 0.635, 0.750)
Ho (0.635, 0.365, 0.250)
Ho (0.917, 0.083, 0.113)
Ho (0.917, 0.083, 0.387)
Cu (0.213, 0.787, 0.093)
Cu (0.213, 0.787, 0.407)
Cu (0.787, 0.213, 0.593)
Cu (0.787, 0.213, 0.907)
Ge (0.340, 0.660, 0.250)
Ge (0.386, 0.614, 0.542)
Ge (0.386, 0.614, 0.958)
Ge (0.614, 0.386, 0.042)
Ge (0.614, 0.386, 0.458)
Ge (0.660, 0.340, 0.750)

Summary:
crystal system = orthorhombic
calculated formation energy = -0.69 eV per atom
density of states at the Fermi level = 7.67 states/eV per cell
final energy = -82.5 eV for the cell shown

=====

Computed, not measured: a relaxed HoCu2Ge2 crystal at the PBE level of DFT.

Cell lengths 5.736, 5.733, 5.878 Å; angles 90.00, 118.91, 90.00 degrees
Fractional positions:
Ho (0.000, 0.000, 0.000)
Ho (0.500, 0.500, 0.000)
Cu (0.000, 0.248, 0.500)
Cu (0.000, 0.752, 0.500)
Cu (0.500, 0.252, 0.500)
Cu (0.500, 0.748, 0.500)
Ge (0.119, 0.500, 0.239)
Ge (0.381, 0.000, 0.761)
Ge (0.619, 0.000, 0.239)
Ge (0.881, 0.500, 0.761)

Summary:
crystal system = monoclinic
calculated formation energy = -0.49 eV per atom
density of states at the Fermi level = 1.89 states/eV per cell
final energy = -48.9 eV for the cell shown

=====

Computed, not measured: a relaxed Ho2Cu3Ge2 crystal at the PBE level of DFT.

Cell lengths 3.733, 18.014, 3.975 Å; angles 90.00, 90.00, 90.00 degrees
Fractional positions:
Ho (0.000, 0.158, 0.000)
Ho (0.000, 0.842, 0.000)
Ho (0.500, 0.342, 0.000)
Ho (0.500, 0.658, 0.000)
Cu (0.000, 0.000, 0.000)
Cu (0.000, 0.435, 0.500)
Cu (0.000, 0.565, 0.500)
Cu (0.500, 0.065, 0.500)
Cu (0.500, 0.500, 0.000)
Cu (0.500, 0.935, 0.500)
Ge (0.000, 0.297, 0.500)
Ge (0.000, 0.703, 0.500)
Ge (0.500, 0.203, 0.500)
Ge (0.500, 0.797, 0.500)

Summary:
crystal system = orthorhombic
calculated formation energy = -0.19 eV per atom
density of states at the Fermi level = 6.11 states/eV per cell
final energy = -64.0 eV for the cell shown

=====

Computed, not measured: a relaxed Ho3Cu2Ge4 crystal at the PBE level of DFT.

Cell lengths 5.737, 5.737, 8.152 Å; angles 102.48, 102.48, 42.66 degrees
Fractional positions:
Ho (0.000, 0.000, 0.000)
Ho (0.340, 0.340, 0.331)
Ho (0.660, 0.660, 0.669)
Cu (0.387, 0.387, 0.714)
Cu (0.613, 0.613, 0.286)
Ge (0.064, 0.064, 0.388)
Ge (0.288, 0.288, 0.941)
Ge (0.712, 0.712, 0.059)
Ge (0.936, 0.936, 0.612)

Summary:
distance to the lowest polymorph of the same formula = 0 meV per atom
crystal system = monoclinic
calculated formation energy = -0.67 eV per atom
density of states at the Fermi level = 3.08 states/eV per cell
final energy = -46.4 eV for the cell shown

=====

Computed, not measured: a relaxed Ho2Cu5Ge3 crystal at the PBE level of DFT.

Cell lengths 4.060, 4.060, 10.524 Å; angles 90.00, 90.00, 90.00 degrees
Fractional positions:
Ho (0.000, 0.500, 0.224)
Ho (0.500, 0.000, 0.776)
Cu (0.000, 0.000, 0.000)
Cu (0.000, 0.000, 0.500)
Cu (0.000, 0.500, 0.874)
Cu (0.500, 0.000, 0.126)
Cu (0.500, 0.500, 0.000)
Ge (0.000, 0.500, 0.654)
Ge (0.500, 0.000, 0.346)
Ge (0.500, 0.500, 0.500)

Summary:
crystal system = tetragonal
calculated formation energy = -0.21 eV per atom
density of states at the Fermi level = 5.60 states/eV per cell
final energy = -45.6 eV for the cell shown

=====

Computed, not measured: a relaxed Ho2Cu3Ge4 crystal at the PBE level of DFT.

Cell lengths 7.886, 7.886, 7.457 Å; angles 90.00, 90.00, 137.89 degrees
Fractional positions:
Ho (0.112, 0.888, 0.908)
Ho (0.388, 0.612, 0.408)
Ho (0.612, 0.388, 0.592)
Ho (0.888, 0.112, 0.092)
Cu (0.000, 0.000, 0.500)
Cu (0.028, 0.472, 0.750)
Cu (0.472, 0.028, 0.250)
Cu (0.500, 0.500, 0.000)
Cu (0.528, 0.972, 0.750)
Cu (0.972, 0.528, 0.250)
Ge (0.181, 0.819, 0.529)
Ge (0.196, 0.304, 0.750)
Ge (0.304, 0.196, 0.250)
Ge (0.319, 0.681, 0.029)
Ge (0.681, 0.319, 0.971)
Ge (0.696, 0.804, 0.750)
Ge (0.804, 0.696, 0.250)
Ge (0.819, 0.181, 0.471)

Summary:
crystal system = orthorhombic
calculated formation energy = -0.44 eV per atom
density of states at the Fermi level = 6.80 states/eV per cell
final energy = -87.7 eV for the cell shown

=====

Computed, not measured: a relaxed Ho2Cu3Ge crystal at the PBE level of DFT.

Cell lengths 3.440, 4.237, 7.580 Å; angles 90.00, 90.00, 90.00 degrees
Fractional positions:
Ho (0.000, 0.000, 0.000)
Ho (0.000, 0.500, 0.476)
Cu (0.500, 0.000, 0.324)
Cu (0.500, 0.000, 0.654)
Cu (0.500, 0.500, 0.152)
Ge (0.500, 0.500, 0.818)

Summary:
crystal system = orthorhombic
calculated formation energy = -0.44 eV per atom
density of states at the Fermi level = 2.38 states/eV per cell
final energy = -28.7 eV for the cell shown

=====

Computed, not measured: a relaxed Ho2CuGe3 crystal at the PBE level of DFT.

Cell lengths 3.997, 4.237, 7.080 Å; angles 90.00, 90.00, 90.00 degrees
Fractional positions:
Ho (0.000, 0.000, 0.000)
Ho (0.000, 0.500, 0.492)
Cu (0.500, 0.500, 0.819)
Ge (0.500, 0.000, 0.332)
Ge (0.500, 0.000, 0.680)
Ge (0.500, 0.500, 0.149)

Summary:
crystal system = orthorhombic
calculated formation energy = -0.61 eV per atom
density of states at the Fermi level = 2.52 states/eV per cell
final energy = -30.8 eV for the cell shown

=====

Computed, not measured: a relaxed Ho4CuGe8 crystal at the PBE level of DFT.

Cell lengths 3.960, 4.063, 16.453 Å; angles 90.00, 90.00, 90.00 degrees
Fractional positions:
Ho (0.000, 0.000, 0.000)
Ho (0.000, 0.500, 0.487)
Ho (0.500, 0.000, 0.789)
Ho (0.500, 0.500, 0.282)
Cu (0.000, 0.500, 0.714)
Ge (0.000, 0.000, 0.331)
Ge (0.000, 0.000, 0.627)
Ge (0.000, 0.500, 0.138)
Ge (0.000, 0.500, 0.857)
Ge (0.500, 0.000, 0.144)
Ge (0.500, 0.000, 0.432)
Ge (0.500, 0.500, 0.627)
Ge (0.500, 0.500, 0.955)

Summary:
crystal system = orthorhombic
calculated formation energy = -0.59 eV per atom
density of states at the Fermi level = 5.01 states/eV per cell
final energy = -67.0 eV for the cell shown

=====

Computed, not measured: a relaxed HoCuGe2Ir crystal at the PBE level of DFT.

Cell lengths 4.127, 4.127, 10.306 Å; angles 90.00, 90.00, 90.00 degrees
Fractional positions:
Ho (0.000, 0.000, 0.000)
Ho (0.500, 0.500, 0.500)
Cu (0.000, 0.500, 0.750)
Cu (0.500, 0.000, 0.250)
Ge (0.000, 0.000, 0.380)
Ge (0.000, 0.000, 0.620)
Ge (0.500, 0.500, 0.120)
Ge (0.500, 0.500, 0.880)
Ir (0.000, 0.500, 0.250)
Ir (0.500, 0.000, 0.750)

Summary:
crystal system = tetragonal
calculated formation energy = -0.55 eV per atom
density of states at the Fermi level = 5.88 states/eV per cell
final energy = -59.0 eV for the cell shown

=====

Computed, not measured: a relaxed Ho2CuGe4Ir3 crystal at the PBE level of DFT.

Cell lengths 4.203, 4.203, 10.190 Å; angles 90.00, 90.00, 90.00 degrees
Fractional positions:
Ho (0.000, 0.500, 0.246)
Ho (0.500, 0.000, 0.754)
Cu (0.000, 0.000, 0.500)
Ge (0.000, 0.000, 0.000)
Ge (0.000, 0.500, 0.632)
Ge (0.500, 0.000, 0.368)
Ge (0.500, 0.500, 0.000)
Ir (0.000, 0.500, 0.869)
Ir (0.500, 0.000, 0.131)
Ir (0.500, 0.500, 0.500)

Summary:
crystal system = tetragonal
calculated formation energy = -0.65 eV per atom
density of states at the Fermi level = 5.15 states/eV per cell
final energy = -64.8 eV for the cell shown

=====

Computed, not measured: a relaxed LaHo2Cu2Ge2 crystal at the PBE level of DFT.

Cell lengths 9.712, 9.712, 9.712 Å; angles 25.88, 25.88, 25.88 degrees
Fractional positions:
La (0.000, 0.000, 0.000)
Ho (0.128, 0.128, 0.128)
Ho (0.872, 0.872, 0.872)
Cu (0.409, 0.409, 0.409)
Cu (0.591, 0.591, 0.591)
Ge (0.258, 0.258, 0.258)
Ge (0.742, 0.742, 0.742)

Summary:
crystal system = trigonal
calculated formation energy = -0.51 eV per atom
density of states at the Fermi level = 3.37 states/eV per cell
final energy = -35.1 eV for the cell shown

=====

Computed, not measured: a relaxed LaHoCu2Ge2 crystal at the PBE level of DFT.

Cell lengths 4.293, 4.293, 7.696 Å; angles 90.00, 90.00, 120.00 degrees
Fractional positions:
La (0.000, 0.000, 0.000)
Ho (0.000, 0.000, 0.500)
Cu (0.333, 0.667, 0.718)
Cu (0.667, 0.333, 0.282)
Ge (0.333, 0.667, 0.265)
Ge (0.667, 0.333, 0.735)

Summary:
crystal system = trigonal
calculated formation energy = -0.69 eV per atom
density of states at the Fermi level = 1.39 states/eV per cell
final energy = -31.1 eV for the cell shown

=====

Computed, not measured: a relaxed LiHoCuGe crystal at the PBE level of DFT.

Cell lengths 6.628, 6.628, 6.628 Å; angles 90.00, 90.00, 90.00 degrees
Fractional positions:
Li (0.000, 0.000, 0.000)
Li (0.000, 0.500, 0.500)
Li (0.500, 0.000, 0.500)
Li (0.500, 0.500, 0.000)
Ho (0.000, 0.000, 0.500)
Ho (0.000, 0.500, 0.000)
Ho (0.500, 0.000, 0.000)
Ho (0.500, 0.500, 0.500)
Cu (0.250, 0.250, 0.250)
Cu (0.250, 0.750, 0.750)
Cu (0.750, 0.250, 0.750)
Cu (0.750, 0.750, 0.250)
Ge (0.250, 0.250, 0.750)
Ge (0.250, 0.750, 0.250)
Ge (0.750, 0.250, 0.250)
Ge (0.750, 0.750, 0.750)

Summary:
crystal system = cubic
calculated formation energy = -0.39 eV per atom
density of states at the Fermi level = 8.07 states/eV per cell
final energy = -67.0 eV for the cell shown

=====

Computed, not measured: a relaxed LiHoCu2Ge2 crystal at the PBE level of DFT.

Cell lengths 4.167, 4.167, 6.553 Å; angles 90.00, 90.00, 120.00 degrees
Fractional positions:
Li (0.000, 0.000, 0.000)
Ho (0.000, 0.000, 0.500)
Cu (0.333, 0.667, 0.175)
Cu (0.667, 0.333, 0.825)
Ge (0.333, 0.667, 0.774)
Ge (0.667, 0.333, 0.226)

Summary:
crystal system = trigonal
calculated formation energy = -0.47 eV per atom
density of states at the Fermi level = 3.32 states/eV per cell
final energy = -26.8 eV for the cell shown

=====

Computed, not measured: a relaxed Ho2MgCu3Ge4 crystal at the PBE level of DFT.

Cell lengths 4.072, 4.072, 10.814 Å; angles 90.00, 90.00, 90.00 degrees
Fractional positions:
Ho (0.000, 0.500, 0.241)
Ho (0.500, 0.000, 0.759)
Mg (0.000, 0.000, 0.500)
Cu (0.000, 0.500, 0.867)
Cu (0.500, 0.000, 0.133)
Cu (0.500, 0.500, 0.500)
Ge (0.000, 0.000, 0.000)
Ge (0.000, 0.500, 0.650)
Ge (0.500, 0.000, 0.350)
Ge (0.500, 0.500, 0.000)

Summary:
crystal system = tetragonal
calculated formation energy = -0.46 eV per atom
density of states at the Fermi level = 1.61 states/eV per cell
final energy = -46.1 eV for the cell shown

=====

Computed, not measured: a relaxed HoMg2Cu2Ge2 crystal at the PBE level of DFT.

Cell lengths 8.432, 8.432, 8.432 Å; angles 29.23, 29.23, 29.23 degrees
Fractional positions:
Ho (0.000, 0.000, 0.000)
Mg (0.134, 0.134, 0.134)
Mg (0.866, 0.866, 0.866)
Cu (0.414, 0.414, 0.414)
Cu (0.586, 0.586, 0.586)
Ge (0.258, 0.258, 0.258)
Ge (0.742, 0.742, 0.742)

Summary:
crystal system = trigonal
calculated formation energy = -0.39 eV per atom
density of states at the Fermi level = 1.37 states/eV per cell
final energy = -27.9 eV for the cell shown

=====

Computed, not measured: a relaxed HoMgCuGe crystal at the PBE level of DFT.

Cell lengths 6.759, 6.759, 6.759 Å; angles 90.00, 90.00, 90.00 degrees
Fractional positions:
Ho (0.000, 0.000, 0.000)
Ho (0.000, 0.500, 0.500)
Ho (0.500, 0.000, 0.500)
Ho (0.500, 0.500, 0.000)
Mg (0.000, 0.000, 0.500)
Mg (0.000, 0.500, 0.000)
Mg (0.500, 0.000, 0.000)
Mg (0.500, 0.500, 0.500)
Cu (0.250, 0.250, 0.250)
Cu (0.250, 0.750, 0.750)
Cu (0.750, 0.250, 0.750)
Cu (0.750, 0.750, 0.250)
Ge (0.250, 0.250, 0.750)
Ge (0.250, 0.750, 0.250)
Ge (0.750, 0.250, 0.250)
Ge (0.750, 0.750, 0.750)

Summary:
crystal system = cubic
calculated formation energy = -0.38 eV per atom
density of states at the Fermi level = 6.28 states/eV per cell
final energy = -65.6 eV for the cell shown